[1]
# Ba2NaI2

An optimized crystal structure of Ba2NaI2 (PBE-GGA, the Alexandria database).

Results
volume	280.8	Å³/cell
electronic total energy	-2.59	eV/atom
total moment	0.00	μB per cell
ΔE to the lowest computed polymorph	24	meV/atom
SG	No. 139

a b c (Å): 9.3957 9.3957 9.3957
angles (deg): 144.31 144.31 51.37
Atoms (fractional coordinates):
1 Ba 0.1305 0.1305 0.0000
2 Ba 0.8695 0.8695 0.0000
3 Na 0.5000 0.5000 0.0000
4 I 0.2500 0.7500 0.5000
5 I 0.7500 0.2500 0.5000

[2]
# CsErN

An optimized crystal structure of CsErN (PBE-GGA, the Alexandria database).

Results
volume	180.8	Å³/cell
electronic total energy	-5.09	eV/atom
total moment	0.00	μB per cell
SG	No. 8

a b c (Å): 3.6961 3.6961 15.4230
angles (deg): 96.60 96.60 59.95
Atoms (fractional coordinates):
1 Cs 0.0000 0.0000 0.0000
2 Cs 0.1421 0.1421 0.4918
3 Er 0.4082 0.4082 0.2823
4 Er 0.9305 0.9305 0.7810
5 N 0.6122 0.6122 0.8275
6 N 0.7566 0.7566 0.3299

[3]
# HfTeWI2

An optimized crystal structure of HfTeWI2 (PBE-GGA, the Alexandria database).

Results
volume	178.5	Å³/cell
electronic total energy	-4.78	eV/atom
total moment	5.67	μB per cell
ΔE to the lowest computed polymorph	0	meV/atom
SG	No. 123

a b c (Å): 5.6360 5.6360 5.6188
angles (deg): 90.00 90.00 90.00
Atoms (fractional coordinates):
1 Hf 0.0000 0.0000 0.0000
2 Te 0.0000 0.0000 0.5000
3 W 0.5000 0.5000 0.5000
4 I 0.0000 0.5000 0.0000
5 I 0.5000 0.0000 0.0000

[4]
# Th3C

An optimized crystal structure of Th3C (PBE-GGA, the Alexandria database).

Results
volume	101.7	Å³/cell
electronic total energy	-7.76	eV/atom
total moment	0.00	μB per cell
ΔE to the lowest computed polymorph	171	meV/atom
SG	No. 44
formation energy	0.1071	eV per atom

a b c (Å): 5.9488 5.9488 5.9488
angles (deg): 146.21 72.55 117.96
Atoms (fractional coordinates):
1 Th 0.0000 0.0000 0.0000
2 Th 0.3237 0.4988 0.8249
3 Th 0.6738 0.4988 0.1751
4 C 0.3035 0.8035 0.5000

[5]
# YAl3

An optimized crystal structure of YAl3 (PBE-GGA, the Alexandria database).

Results
volume	84.7	Å³/cell
electronic total energy	-4.41	eV/atom
total moment	0.00	μB per cell
SG	No. 187
formation energy	0.0133	eV per atom

a b c (Å): 3.2828 3.2828 9.0703
angles (deg): 90.00 90.00 120.00
Atoms (fractional coordinates):
1 Y 0.0000 0.0000 0.0000
2 Al 0.0000 0.0000 0.5000
3 Al 0.3333 0.6667 0.2764
4 Al 0.3333 0.6667 0.7236

[6]
# KCd2AgF8

An optimized crystal structure of KCd2AgF8 (PBE-GGA, the Alexandria database).

Results
volume	209.6	Å³/cell
electronic total energy	-3.62	eV/atom
total moment	0.00	μB per cell
SG	No. 10

a b c (Å): 5.2679 7.0956 5.6169
angles (deg): 90.00 93.17 90.00
Atoms (fractional coordinates):
1 K 0.0000 0.0000 0.0000
2 Cd 0.5000 0.2564 0.5000
3 Cd 0.5000 0.7436 0.5000
4 Ag 0.0000 0.5000 0.0000
5 F 0.2015 0.3017 0.1743
6 F 0.2015 0.6983 0.1743
7 F 0.3043 0.5000 0.6624
8 F 0.3279 0.0000 0.6654
9 F 0.6721 0.0000 0.3346
10 F 0.6957 0.5000 0.3376
11 F 0.7985 0.3017 0.8257
12 F 0.7985 0.6983 0.8257

[7]
# NaPmGe2

An optimized crystal structure of NaPmGe2 (PBE-GGA, the Alexandria database).

Results
volume	94.9	Å³/cell
electronic total energy	-4.10	eV/atom
total moment	0.00	μB per cell
ΔE to the lowest computed polymorph	148	meV/atom
SG	No. 123
formation energy	-0.2778	eV per atom

a b c (Å): 3.2957 3.2957 8.7339
angles (deg): 90.00 90.00 90.00
Atoms (fractional coordinates):
1 Na 0.0000 0.0000 0.0000
2 Pm 0.0000 0.0000 0.5000
3 Ge 0.5000 0.5000 0.2552
4 Ge 0.5000 0.5000 0.7448

[8]
# AlPCl2

An optimized crystal structure of AlPCl2 (PBE-GGA, the Alexandria database).

Results
volume	76.3	Å³/cell
electronic total energy	-2.78	eV/atom
total moment	0.00	μB per cell
ΔE to the lowest computed polymorph	1080	meV/atom
SG	No. 139

a b c (Å): 5.2103 5.2103 5.2103
angles (deg): 132.11 132.11 70.05
Atoms (fractional coordinates):
1 Al 0.0000 0.0000 0.0000
2 P 0.5000 0.5000 0.0000
3 Cl 0.2500 0.7500 0.5000
4 Cl 0.7500 0.2500 0.5000